No. 1
Here is PaTi2Fe after structural relaxation from Alexandria. Energies are from PBE-GGA.

a b c (Å): 9.406 9.406 9.406
angles (deg): 18.02 18.02 18.02
Positions (direct):
Pa 0.000 0.000 0.000
Ti 0.101 0.101 0.101
Ti 0.899 0.899 0.899
Fe 0.500 0.500 0.500

Calculated values
Energy relative to the elements in eV per atom: 0.211

=====

No. 2
Here is Sm2Dy2Y5 after structural relaxation from Alexandria. Energies are from PBE-GGA.

a b c (Å): 10.110 10.110 10.110
angles (deg): 84.56 108.71 140.72
Positions (direct):
Sm 0.000 0.000 0.000
Sm 0.000 0.500 0.500
Sm 0.885 0.646 0.739
Sm 0.907 0.146 0.261
Dy 0.445 0.577 0.122
Dy 0.445 0.822 0.368
Dy 0.454 0.077 0.632
Dy 0.454 0.322 0.878
Y 0.044 0.354 0.795
Y 0.044 0.749 0.191
Y 0.351 0.258 0.379
Y 0.351 0.472 0.594
Y 0.356 0.858 0.998
Y 0.558 0.249 0.205
Y 0.558 0.854 0.809
Y 0.860 0.358 0.002
Y 0.878 0.758 0.406
Y 0.878 0.972 0.621

Calculated values
Energy relative to the elements in eV per atom: 0.230

=====

No. 3
Here is Mg2Si3 after structural relaxation from Alexandria. Energies are from PBE-GGA.

a b c (Å): 3.679 5.286 20.149
angles (deg): 89.91 85.10 89.60
Positions (direct):
Mg 0.000 0.000 0.000
Mg 0.093 0.711 0.796
Mg 0.239 0.691 0.508
Mg 0.335 0.562 0.352
Mg 0.431 0.241 0.149
Mg 0.566 0.225 0.861
Mg 0.670 0.943 0.653
Mg 0.862 0.015 0.288
Si 0.027 0.490 0.944
Si 0.120 0.196 0.750
Si 0.214 0.191 0.561
Si 0.271 0.175 0.440
Si 0.399 0.743 0.212
Si 0.457 0.762 0.090
Si 0.543 0.739 0.905
Si 0.635 0.449 0.713
Si 0.698 0.446 0.592
Si 0.785 0.903 0.417
Si 0.886 0.477 0.241
Si 0.971 0.497 0.064

Calculated values
Raw formation energy in eV/atom: 0.03

=====

No. 4
Here is NdDy2Mg2Cd2 after structural relaxation from Alexandria. Energies are from PBE-GGA.

a b c (Å): 9.044 9.044 9.044
angles (deg): 32.53 32.53 32.53
Positions (direct):
Nd 0.000 0.000 0.000
Dy 0.129 0.129 0.129
Dy 0.871 0.871 0.871
Mg 0.265 0.265 0.265
Mg 0.735 0.735 0.735
Cd 0.406 0.406 0.406
Cd 0.594 0.594 0.594

Calculated values
Energy relative to the elements in eV per atom: -0.103

=====

No. 5
Here is GaRhI3 after structural relaxation from Alexandria. Energies are from PBE-GGA.

a b c (Å): 5.627 5.627 5.627
angles (deg): 90.00 90.00 90.00
Positions (direct):
Ga 0.000 0.000 0.000
Rh 0.500 0.500 0.500
I 0.000 0.000 0.500
I 0.000 0.500 0.000
I 0.500 0.000 0.000

Calculated values
Raw formation energy in eV/atom: 0.65

=====

No. 6
Here is Y5SnIr4 after structural relaxation from Alexandria. Energies are from PBE-GGA.

a b c (Å): 3.345 3.345 19.293
angles (deg): 90.00 90.00 90.00
Positions (direct):
Y 0.000 0.000 0.000
Y 0.000 0.000 0.187
Y 0.000 0.000 0.373
Y 0.000 0.000 0.627
Y 0.000 0.000 0.813
Sn 0.500 0.500 0.500
Ir 0.500 0.500 0.094
Ir 0.500 0.500 0.283
Ir 0.500 0.500 0.717
Ir 0.500 0.500 0.906

Calculated values
Energy relative to the elements in eV per atom: -0.767

=====

No. 7
Here is MgTa2P after structural relaxation from Alexandria. Energies are from PBE-GGA.

a b c (Å): 2.979 2.979 8.341
angles (deg): 90.00 90.00 106.20
Positions (direct):
Mg 0.000 0.000 0.000
Ta 0.000 0.000 0.542
Ta 0.500 0.500 0.283
P 0.500 0.500 0.753

Calculated values
Energy relative to the elements in eV per atom: -0.072

=====

No. 8
Here is Na2NiRh2 after structural relaxation from Alexandria. Energies are from PBE-GGA.

a b c (Å): 8.175 8.175 2.555
angles (deg): 90.00 90.00 90.00
Positions (direct):
Na 0.114 0.386 0.000
Na 0.386 0.886 0.000
Na 0.614 0.114 0.000
Na 0.886 0.614 0.000
Ni 0.000 0.000 0.000
Ni 0.500 0.500 0.000
Rh 0.188 0.688 0.500
Rh 0.312 0.188 0.500
Rh 0.688 0.812 0.500
Rh 0.812 0.312 0.500

Calculated values
Energy relative to the elements in eV per atom: 0.878

=====

No. 9
Here is ScV3Ir after structural relaxation from Alexandria. Energies are from PBE-GGA.

a b c (Å): 4.669 4.669 4.669
angles (deg): 90.00 90.00 90.00
Positions (direct):
Sc 0.000 0.000 0.000
V 0.000 0.500 0.500
V 0.500 0.000 0.500
V 0.500 0.500 0.000
Ir 0.500 0.500 0.500

Calculated values
Energy relative to the elements in eV per atom: 0.661

=====

No. 10
Here is TbPr2Tm5Th after structural relaxation from Alexandria. Energies are from PBE-GGA.

a b c (Å): 9.831 9.831 9.831
angles (deg): 127.68 127.68 77.14
Positions (direct):
Tb 0.250 0.750 0.500
Tb 0.750 0.250 0.500
Pr 0.117 0.617 0.734
Pr 0.383 0.117 0.500
Pr 0.617 0.883 0.500
Pr 0.883 0.383 0.266
Tm 0.000 0.000 0.000
Tm 0.073 0.146 0.500
Tm 0.146 0.646 0.072
Tm 0.354 0.427 0.500
Tm 0.427 0.927 0.072
Tm 0.500 0.500 0.000
Tm 0.573 0.073 0.928
Tm 0.646 0.573 0.500
Tm 0.854 0.354 0.928
Tm 0.927 0.854 0.500
Th 0.250 0.250 0.000
Th 0.750 0.750 0.000

Calculated values
Energy relative to the elements in eV per atom: 0.292

=====

No. 11
Here is CeHoThZr after structural relaxation from Alexandria. Energies are from PBE-GGA.

a b c (Å): 5.459 5.459 5.459
angles (deg): 60.00 60.00 60.00
Positions (direct):
Ce 0.000 0.000 0.000
Ho 0.750 0.750 0.750
Th 0.500 0.500 0.500
Zr 0.250 0.250 0.250

Calculated values
Energy relative to the elements in eV per atom: 0.196

=====

No. 12
Here is Ca8MgHg2 after structural relaxation from Alexandria. Energies are from PBE-GGA.

a b c (Å): 9.314 9.314 9.314
angles (deg): 147.10 120.75 69.46
Positions (direct):
Ca 0.124 0.337 0.787
Ca 0.139 0.139 0.000
Ca 0.317 0.000 0.317
Ca 0.451 0.663 0.787
Ca 0.549 0.337 0.213
Ca 0.683 0.000 0.683
Ca 0.861 0.861 0.000
Ca 0.876 0.663 0.213
Mg 0.000 0.500 0.500
Hg 0.303 0.803 0.500
Hg 0.697 0.197 0.500

Calculated values
Energy relative to the elements in eV per atom: -0.181

=====

Number 1: density 9.13 Mg/m³. Number 2: density 5.93 Mg/m³. Number 3: density 2.26 Mg/m³. Number 4: density 6.49 Mg/m³. Number 5: density 5.16 Mg/m³. Number 6: density 10.25 Mg/m³. Number 7: density 9.74 Mg/m³. Number 8: density 6.04 Mg/m³. Number 9: density 6.36 Mg/m³. Number 10: density 8.73 Mg/m³. Number 11: density 9.07 Mg/m³. Number 12: density 3.33 Mg/m³.